[1]
As2RuAu | Alexandria | GGA-PBE | relaxed; calculated volume = 20.172 A^3/atom; spin magnetization = 0.000 μB per formula unit; total energy = -5.27 eV/atom; space-group type = Pm; excess energy over the best structure of this formula in the dataset = 3.50 kcal/mol of atoms
1.0
4.051 0.000 0.000
0.000 2.985 0.300
0.000 2.367 6.910
Ru As Au
1 2 1
Direct
0.500 0.902 0.722 Ru
0.000 0.705 0.916 As
0.500 0.278 0.351 As
0.000 0.615 0.512 Au

=====

[2]
As2RuAu | Alexandria | GGA-PBE | relaxed; calculated volume = 16.668 A^3/atom; spin magnetization = 0.000 μB per formula unit; total energy = -5.13 eV/atom; space-group type = I-4m2; excess energy over the best structure of this formula in the dataset = 6.71 kcal/mol of atoms
1.0
-4.400 -1.899 -2.029
-3.537 -1.750 3.393
2.838 4.325 -0.571
Ru As Au
1 2 1
Direct
0.750 0.250 0.500 Ru
0.000 0.000 0.000 As
0.250 0.750 0.500 As
0.500 0.500 0.000 Au

=====

| no. | ΔE_f (meV per atom) |
| --- | --- |
| 1 | 198 |
| 2 | 337 |